The following is a DFT calculation (PBE-GGA) of an optimized crystal structure of MgBe2BMo.

Properties
size of the total moment = 0.0 μB/cell
total energy = -17.304 eV for the cell shown
ΔE_f = 1.850 eV/atom

Lattice parameters (Å, degrees): 4.0796 4.0796 3.9454 90.00 90.00 90.00
Fractional coordinates of all 5 atoms:
Mg  0.0000  0.0000  0.0000
Be  0.0000  0.5000  0.0000
Be  0.5000  0.0000  0.0000
B  0.0000  0.0000  0.5000
Mo  0.5000  0.5000  0.5000